A plane-wave DFT calculation with GGA-PBE was carried out for crystalline NdHgSb2 at its relaxed geometry.

Lattice parameters (Å, degrees): 4.504 4.504 10.864 90.00 90.00 90.00
Fractional coordinates of all 8 atoms:
Sb 0.500 0.500 0.500
Sb 0.500 0.000 0.218
Nd 0.000 0.500 0.270
Hg 0.500 0.500 0.000
Sb 0.000 0.000 0.500
Nd 0.500 0.000 0.730
Sb 0.000 0.500 0.782
Hg 0.000 0.000 0.000

DFT total energy   -30.970 eV per cell
Energy above the most stable polymorph in this dataset   0 meV/atom
Formation energy from raw total energies   -543 meV per atom

=====

A plane-wave DFT calculation with GGA-PBE was carried out for crystalline NaNiP2S8 at its relaxed geometry.

Lattice parameters (Å, degrees): 5.568 5.568 9.785 90.00 90.00 120.00
Fractional coordinates of all 12 atoms:
S 0.693 0.667 0.647
S 0.667 0.333 0.084
Na 0.000 0.000 0.000
Ni 0.000 0.000 0.500
S 0.026 0.693 0.353
S 0.974 0.307 0.647
S 0.333 0.026 0.647
S 0.307 0.333 0.353
P 0.667 0.333 0.288
S 0.667 0.974 0.353
S 0.333 0.667 0.916
P 0.333 0.667 0.712

DFT total energy   -52.802 eV per cell
Formation energy from raw total energies   -155 meV per atom